A plane-wave DFT calculation with PBE was carried out for crystalline YIn2Cl8 at its relaxed geometry.

Structure (extended XYZ):
```
11
Lattice="7.0790 -4.1790 0.0000 7.0790 4.1790 0.0000 -1.0126 0.0000 6.7829" Properties=species:S:1:pos:R:3 pbc="T T T"
Y 0.0000 0.0000 0.0000
In 1.9274 0.0000 4.3295
In 11.2180 0.0000 2.4534
Cl 5.6947 2.4148 1.4542
Cl 2.0195 0.0000 1.7655
Cl 7.4507 2.4148 5.3286
Cl 4.1885 0.0000 5.0568
Cl 8.9569 0.0000 1.7261
Cl 5.6947 -2.4148 1.4542
Cl 11.1259 0.0000 5.0174
Cl 7.4507 -2.4148 5.3286
```

Output
For the energy relative to the elements, uncorrected, the calculation gives -1.34 eV/atom.

***

A plane-wave DFT calculation with PBE was carried out for crystalline TaSbO4 at its relaxed geometry.

Structure (extended XYZ):
```
24
Lattice="6.2404 0.0000 0.0000 0.0000 10.3746 0.0000 0.0000 0.0000 6.4778" Properties=species:S:1:pos:R:3 pbc="T T T"
Ta 1.5601 0.0000 0.0260
Ta 1.5601 5.1873 3.2129
Ta 4.6803 0.0000 6.4518
Ta 4.6803 5.1873 3.2649
Sb 0.1388 2.5936 1.6195
Sb 2.9814 7.7809 1.6195
Sb 3.2590 2.5936 4.8584
Sb 6.1016 7.7809 4.8584
O 0.1155 5.3941 4.5362
O 0.1155 10.1677 5.1805
O 1.5287 7.1503 2.9123
O 1.5287 8.4116 0.3266
O 1.5915 1.9630 0.3266
O 1.5915 3.2243 2.9123
O 3.0047 0.2068 5.1805
O 3.0047 4.9804 4.5362
O 3.2357 5.3941 1.9416
O 3.2357 10.1677 1.2973
O 4.6489 7.1503 3.5655
O 4.6489 8.4116 6.1512
O 4.7117 1.9630 6.1512
O 4.7117 3.2243 3.5655
O 6.1249 0.2068 1.2973
O 6.1249 4.9804 1.9416
```

Output
For the energy relative to the elements, uncorrected, the calculation gives -2.04 eV/atom.

***

A plane-wave DFT calculation with PBE was carried out for crystalline YZnSeBr2 at its relaxed geometry.

Structure (extended XYZ):
```
5
Lattice="5.0046 0.0000 0.0000 0.0000 5.0046 0.0000 0.0000 0.0000 5.1713" Properties=species:S:1:pos:R:3 pbc="T T T"
Y 0.0000 0.0000 0.0000
Zn 2.5023 2.5023 2.5856
Se 2.5023 2.5023 0.0000
Br 0.0000 2.5023 2.5856
Br 2.5023 0.0000 2.5856
```

Output
For the energy relative to the elements, uncorrected, the calculation gives -0.58 eV/atom.

***

A plane-wave DFT calculation with PBE was carried out for crystalline AlAs at its relaxed geometry.

Structure (extended XYZ):
```
4
Lattice="3.7858 0.0000 0.0000 -1.8929 3.2786 0.0000 0.0000 0.0000 5.9914" Properties=species:S:1:pos:R:3 pbc="T T T"
Al 0.0000 0.0000 0.0000
Al 0.0000 0.0000 2.9957
As 0.0000 2.1858 1.4979
As 1.8929 1.0929 4.4936
```

Output
For the formation energy, the calculation gives -5.6 kcal/mol of atoms.

***

A plane-wave DFT calculation with PBE was carried out for crystalline AcCe2CuN4 at its relaxed geometry.

Structure (extended XYZ):
```
16
Lattice="1.8037 -5.8856 0.0000 1.8037 5.8856 0.0000 0.0000 0.0000 11.7535" Properties=species:S:1:pos:R:3 pbc="T T T"
Ac 1.8037 4.6859 8.8151
Ac 1.8037 -4.6859 2.9384
Ce 1.8037 1.5575 6.5449
Ce 1.8037 1.5575 11.0853
Ce 1.8037 -1.5575 0.6682
Ce 1.8037 -1.5575 5.2086
Cu 1.8037 3.9525 2.9384
Cu 1.8037 -3.9525 8.8151
N 0.0000 0.0000 0.0000
N 0.0000 0.0000 5.8767
N 1.8037 2.7931 1.2981
N 1.8037 2.7931 4.5786
N 1.8037 0.6960 8.8151
N 1.8037 -0.6960 2.9384
N 1.8037 -2.7931 7.1749
N 1.8037 -2.7931 10.4554
```

Output
For the energy relative to the elements, uncorrected, the calculation gives -1.13 eV/atom.

***

A plane-wave DFT calculation with PBE was carried out for crystalline BaSCl3 at its relaxed geometry.

Structure (extended XYZ):
```
5
Lattice="5.1906 0.0000 0.0000 0.0000 5.1906 0.0000 0.0000 0.0000 5.1906" Properties=species:S:1:pos:R:3 pbc="T T T"
Ba 0.0000 0.0000 0.0000
S 2.5953 2.5953 2.5953
Cl 0.0000 2.5953 2.5953
Cl 2.5953 0.0000 2.5953
Cl 2.5953 2.5953 0.0000
```

Output
For the energy relative to the elements, uncorrected, the calculation gives -0.97 eV/atom.

***

A plane-wave DFT calculation with PBE was carried out for crystalline HfSi2O6 at its relaxed geometry.

Structure (extended XYZ):
```
9
Lattice="2.3726 1.3698 4.7544 -2.3726 1.3698 4.7544 0.0000 -2.7396 4.7544" Properties=species:S:1:pos:R:3 pbc="T T T"
Hf 0.0000 0.0000 0.0000
Si 0.0000 0.0000 7.0337
Si 0.0000 0.0000 11.5511
O -1.5003 -0.1160 5.8917
O -0.9599 -1.1544 7.9172
O 0.8506 -1.2413 5.8917
O -0.5197 1.4085 7.9172
O 0.6497 1.3573 5.8917
O 1.4797 -0.2541 7.9172
```

Output
For the energy relative to the elements, uncorrected, the calculation gives -2.85 eV/atom.

***

A plane-wave DFT calculation with PBE was carried out for crystalline Be4NiGe at its relaxed geometry.

Structure (extended XYZ):
```
6
Lattice="0.0000 3.0667 3.0667 3.0667 0.0000 3.0667 3.0667 3.0667 0.0000" Properties=species:S:1:pos:R:3 pbc="T T T"
Be 0.7566 0.7566 0.7566
Be 2.3101 2.3101 0.7566
Be 2.3101 0.7566 2.3101
Be 0.7566 2.3101 2.3101
Ni 4.6001 4.6001 4.6001
Ge 3.0667 3.0667 3.0667
```

Output
For the formation energy, the calculation gives -0.8 kcal/mol of atoms.

***

A plane-wave DFT calculation with PBE was carried out for crystalline Pm6HoTm at its relaxed geometry.

Structure (extended XYZ):
```
8
Lattice="0.0000 5.0792 7.2320 3.6353 0.0000 7.2320 3.6353 5.0792 0.0000" Properties=species:S:1:pos:R:3 pbc="T T T"
Pm 1.8176 2.5396 1.7884
Pm 3.6353 5.0792 3.6191
Pm 1.8176 2.5396 5.4436
Pm 5.4529 7.6187 9.0205
Pm 3.6353 5.0792 10.8449
Pm 5.4529 7.6187 12.6756
Ho 0.0000 0.0000 0.0000
Tm 3.6353 5.0792 7.2320
```

Output
For the formation energy, the calculation gives 0.4 kcal/mol of atoms.

***

A plane-wave DFT calculation with PBE was carried out for crystalline KMn2Cl8 at its relaxed geometry.

Structure (extended XYZ):
```
11
Lattice="6.8919 0.0000 0.0000 1.1623 7.4002 0.0000 0.5765 2.4667 7.0699" Properties=species:S:1:pos:R:3 pbc="T T T"
K 0.0000 0.0000 0.0000
Mn 1.9947 3.1256 2.1745
Mn 6.6360 6.7413 4.8954
Cl 1.8519 7.2347 5.0190
Cl 2.3818 3.2619 4.3020
Cl 2.9212 4.9883 1.5690
Cl 2.7475 1.6184 0.7932
Cl 5.8832 8.2485 6.2767
Cl 5.7096 4.8786 5.5009
Cl 6.2489 6.6050 2.7679
Cl 6.7788 2.6321 2.0509
```

Output
For the energy relative to the elements, uncorrected, the calculation gives -1.02 eV/atom.

***

A plane-wave DFT calculation with PBE was carried out for crystalline BaCrNi3 at its relaxed geometry.

Structure (extended XYZ):
```
5
Lattice="4.5601 0.0000 0.0000 0.0000 4.5601 0.0000 0.0000 0.0000 4.5601" Properties=species:S:1:pos:R:3 pbc="T T T"
Ba 0.0000 0.0000 0.0000
Cr 2.2800 2.2800 2.2800
Ni 0.0000 2.2800 2.2800
Ni 2.2800 0.0000 2.2800
Ni 2.2800 2.2800 0.0000
```

Output
For the formation energy, the calculation gives 14.8 kcal/mol of atoms.

***

A plane-wave DFT calculation with PBE was carried out for crystalline La2Zn5Ge at its relaxed geometry.

Structure (extended XYZ):
```
16
Lattice="2.2626 -8.2086 0.0000 2.2626 8.2086 0.0000 0.0000 0.0000 8.9588" Properties=species:S:1:pos:R:3 pbc="T T T"
La 0.0000 0.0000 0.0000
La 0.0000 0.0000 4.4794
La 2.2626 4.8126 6.7191
La 2.2626 -4.8126 2.2397
Zn 2.2626 5.1818 0.9610
Zn 2.2626 5.1818 3.5184
Zn 2.2626 2.4964 0.1735
Zn 2.2626 2.4964 4.3059
Zn 2.2626 1.5644 6.7191
Zn 2.2626 -1.5644 2.2397
Zn 2.2626 -2.4964 4.6529
Zn 2.2626 -2.4964 8.7853
Zn 2.2626 -5.1818 5.4404
Zn 2.2626 -5.1818 7.9978
Ge 2.2626 0.9614 2.2397
Ge 2.2626 -0.9614 6.7191
```

Output
For the formation energy, the calculation gives -11.0 kcal/mol of atoms.